Here is crystalline PmSmIn2 at its relaxed geometry from Alexandria. Energies are from PBE.

Lattice parameters (Å, degrees): 5.4298 5.4298 5.4298 60.00 60.00 60.00
Closest atoms and distances in Å follow each position.
Element x y z (fractional)
Sm 0.7500 0.7500 0.7500  8 In 3.32-3.33
In 0.5000 0.5000 0.5000  4 Sm 3.32-3.33, 4 Pm 3.32-3.33
In 0.0000 0.0000 0.0000  4 Sm 3.32-3.33, 4 Pm 3.32-3.33
Pm 0.2500 0.2500 0.2500  8 In 3.32-3.33

Results
N(E_F) (states/eV/cell): 1.738
Theoretical density (g cm⁻³): 7.7



Here is crystalline Pm2Sm8In at its relaxed geometry from Alexandria. Energies are from PBE.

Lattice parameters (Å, degrees): 5.5483 7.7362 9.9209 112.95 106.24 90.00
Closest atoms and distances in Å follow each position.
Element x y z (fractional)
Sm 0.3639 0.5908 0.7277  1 In 3.17, 2 Pm 3.43, 1 Sm 3.51
Sm 0.0000 0.7410 0.0000  2 In 3.42, 7 Sm 3.65-3.73
Sm 0.6362 0.8631 0.2723  1 In 3.17, 2 Pm 3.43, 1 Sm 3.51
Sm 0.0000 0.2590 0.0000  2 In 3.42, 7 Sm 3.65-3.73
Sm 0.1769 0.1769 0.3538  8 Sm 3.56-3.70, 4 Pm 3.58-3.88
Sm 0.8231 0.8231 0.6462  8 Sm 3.56-3.70, 4 Pm 3.58-3.88
Sm 0.3638 0.1369 0.7277  1 In 3.17, 2 Pm 3.43, 1 Sm 3.51
Sm 0.6361 0.4092 0.2723  1 In 3.17, 2 Pm 3.43, 1 Sm 3.51
Pm 0.1932 0.6932 0.3864  8 Sm 3.43-3.65
Pm 0.8068 0.3068 0.6136  8 Sm 3.43-3.65
In 0.5000 0.0000 0.0000  8 Sm 3.17-3.42

Results
N(E_F) (states/eV/cell): 15.583
Theoretical density (g cm⁻³): 7.1
Energy above the most stable polymorph in this dataset (meV per atom): 69.9



Here is crystalline PmSmIn3 at its relaxed geometry from Alexandria. Energies are from PBE.

Lattice parameters (Å, degrees): 5.8940 5.8940 11.9953 104.22 104.22 90.00
Closest atoms and distances in Å follow each position.
Element x y z (fractional)
In 0.6244 0.8776 0.7551  2 In 2.91-2.98, 2 Pm 3.13-3.22
In 0.2526 0.2526 0.5053  2 Pm 2.95, 2 In 3.29
In 0.7474 0.7474 0.4947  2 Pm 2.95, 2 In 3.29
In 0.1224 0.3756 0.2449  2 In 2.91-2.98, 2 Pm 3.13-3.22
In 0.1308 0.8776 0.7551  2 In 2.91-2.98, 2 Pm 3.13-3.22
In 0.1224 0.8692 0.2449  2 In 2.91-2.98, 2 Pm 3.13-3.22
Sm 0.8320 0.3320 0.6639  8 In 3.45-3.51, 1 Sm 3.69
Sm 0.6680 0.1680 0.3361  8 In 3.45-3.51, 1 Sm 3.69
Pm 0.0000 0.0000 0.0000  4 In 3.13
Pm 0.2500 0.7500 0.5000  8 In 2.95-3.22

Results
N(E_F) (states/eV/cell): 8.895
Theoretical density (g cm⁻³): 5.4



no.,E_tot (eV/atom),E_form (eV/atom)
1,-4.23,-0.494
2,-4.54,0.006
3,-3.46,0.078